# P2S

A relaxed P2S crystal (GGA-PBE, the Alexandria database). Values from VASP.

Cell and atoms, written as Quantum ESPRESSO input:
```
&SYSTEM
  ibrav = 0, nat = 6, ntyp = 2
/
ATOMIC_SPECIES
P 30.97 P.upf
S 32.06 S.upf
ATOMIC_POSITIONS crystal
P 0.000 0.000 0.000
P 0.165 0.500 0.000
P 0.500 0.500 0.000
P 0.665 0.000 0.000
S 0.187 0.500 0.707
S 0.687 0.000 0.707
CELL_PARAMETERS angstrom
8.774 0.000 0.000
0.000 3.376 0.000
-4.344 0.000 5.338
```

Output
**Formation energy (no corrections)**: 89 meV/atom
**DFT total energy**: -4.89 eV per atom
**Energy above the lowest structure with this stoichiometry**: 64 meV per atom